This record from Alexandria describes a relaxed structure of AlNi6Rh. The functional is PBE.

Lattice parameters (Å, degrees): 6.744 6.744 4.583 42.63 42.63 60.00
Atoms (fractional coordinates):
Al 0.000 0.000 0.000
Ni 0.969 0.250 0.241
Ni 0.250 0.540 0.241
Ni 0.460 0.031 0.759
Ni 0.750 0.460 0.759
Ni 0.031 0.750 0.759
Ni 0.540 0.969 0.241
Rh 0.500 0.500 0.500

Results
Relative energy among the computed polymorphs in eV/f.u.: 0.88
SG: R-3, No. 148
ρ in g/cm3: 8.4
Magnetic moment in μB per atom: 0.2662
DOS(E_F) in states/eV/atom: 1.62
ΔE_f in eV per atom: -0.08

This record from Alexandria describes a relaxed structure of AlNiRh3. The functional is PBE.

Lattice parameters (Å, degrees): 4.419 4.419 4.419 90.00 90.00 90.00
Atoms (fractional coordinates):
Ni 0.500 0.500 0.500
Rh 0.000 0.500 0.000
Rh 0.000 0.000 0.500
Rh 0.500 0.000 0.000
Al 0.000 0.000 0.000

Results
Relative energy among the computed polymorphs in eV/f.u.: 0.00
SG: Pm-3m, No. 221
ρ in g/cm3: 7.6
Magnetic moment in μB per atom: 0.6116
DOS(E_F) in states/eV/atom: 1.65
ΔE_f in eV per atom: 0.83

This record from Alexandria describes a relaxed structure of Al4NiRh2. The functional is PBE.

Lattice parameters (Å, degrees): 4.185 4.185 7.122 72.91 72.91 60.00
Atoms (fractional coordinates):
Ni 0.000 0.000 0.000
Rh 0.745 0.745 0.765
Rh 0.255 0.255 0.235
Al 0.871 0.871 0.387
Al 0.129 0.129 0.613
Al 0.617 0.617 0.148
Al 0.383 0.383 0.852

Results
SG: R-3m, No. 166
ρ in g/cm3: 6.1
Magnetic moment in μB per atom: 0.0000
DOS(E_F) in states/eV/atom: 0.52
ΔE_f in eV per atom: -0.82

This record from Alexandria describes a relaxed structure of Al4Ni15Rh. The functional is PBE.

Lattice parameters (Å, degrees): 3.574 3.574 17.886 90.00 90.00 90.00
Atoms (fractional coordinates):
Al 0.000 0.000 0.204
Al 0.000 0.000 0.401
Al 0.000 0.000 0.599
Al 0.000 0.000 0.796
Ni 0.500 0.500 0.000
Ni 0.500 0.500 0.201
Ni 0.500 0.500 0.400
Ni 0.500 0.500 0.600
Ni 0.500 0.500 0.799
Ni 0.500 0.000 0.102
Ni 0.500 0.000 0.301
Ni 0.500 0.000 0.500
Ni 0.500 0.000 0.699
Ni 0.500 0.000 0.898
Ni 0.000 0.500 0.102
Ni 0.000 0.500 0.301
Ni 0.000 0.500 0.500
Ni 0.000 0.500 0.699
Ni 0.000 0.500 0.898
Rh 0.000 0.000 0.000

Results
SG: P4/mmm, No. 123
ρ in g/cm3: 7.9
Magnetic moment in μB per atom: 0.2236
DOS(E_F) in states/eV/atom: 1.11
ΔE_f in eV per atom: -0.34